A relaxed Sr9H14O2 crystal, computed with PBE.

abc: 7.2625 7.2625 10.1678
angles: 90.00 90.00 120.00
Space group P-3 (No. 147)
Unique sites:
Sr: 0.0000 0.0000 0.0000
Sr: 0.0458 0.3485 0.3374
Sr: 0.3333 0.6667 0.0265
H: 0.0000 0.0000 0.2529
H: 0.0338 0.6828 0.9101
H: 0.0502 0.3689 0.5891
O: 0.3333 0.6667 0.2559

## Properties
Crystal system: trigonal
Magnetic moment, μB per formula unit: 0.0
Mass density, kg/m³: 2984
Uncorrected energy, eV per cell: -93.9


A relaxed TlCo2Au crystal, computed with PBE.

abc: 3.035 3.035 7.126
angles: 90.00 90.00 90.00
Space group P4mm (No. 99)
Unique sites:
Tl: 0.000 0.000 0.000
Co: 0.000 0.000 0.567
Co: 0.500 0.500 0.721
Au: 0.500 0.500 0.328

## Properties
Crystal system: tetragonal
Magnetic moment, μB per formula unit: 3.5
Mass density, kg/m³: 13135
Uncorrected energy, eV per cell: -18.6


A relaxed SrSmZnSi crystal, computed with PBE.

abc: 7.412 7.412 7.412
angles: 90.00 90.00 90.00
Space group F-43m (No. 216)
Unique sites:
Sr: 0.000 0.000 0.000
Sm: 0.000 0.000 0.500
Zn: 0.250 0.250 0.250
Si: 0.250 0.250 0.750

## Properties
Crystal system: cubic
E_form (uncorrected), eV per atom: -0.277
Magnetic moment, μB per formula unit: 0.0
Mass density, kg/m³: 5407


A relaxed Pr8TlSe6 crystal, computed with PBE.

abc: 11.0493 11.0493 4.2734
angles: 90.00 90.00 120.00
Space group P-3 (No. 147)
Unique sites:
Pr: 0.0360 0.7063 0.2510
Pr: 0.3333 0.6667 0.7497
Tl: 0.0000 0.0000 0.5000
Se: 0.1330 0.4840 0.2508

## Properties
Crystal system: trigonal
E_form (uncorrected), eV per atom: -1.374
Magnetic moment, μB per formula unit: 0.0
Mass density, kg/m³: 6635


A relaxed SrCd2NiSn crystal, computed with PBE.

abc: 5.071 5.071 4.951
angles: 90.00 90.00 90.00
Space group P4/mmm (No. 123)
Unique sites:
Sr: 0.000 0.000 0.000
Cd: 0.000 0.500 0.500
Ni: 0.500 0.500 0.500
Sn: 0.500 0.500 0.000

## Properties
Crystal system: tetragonal
Magnetic moment, μB per formula unit: 0.0
Mass density, kg/m³: 6389
Uncorrected energy, eV per cell: -14.5


A relaxed La2YIr crystal, computed with PBE.

abc: 4.351 4.351 10.900
angles: 90.00 90.00 90.00
Space group I4/mmm (No. 139)
Unique sites:
La: 0.000 0.500 0.250
Y: 0.000 0.000 0.000
Ir: 0.000 0.000 0.500

## Properties
Crystal system: tetragonal
Magnetic moment, μB per formula unit: 0.0
Mass density, kg/m³: 8995
Uncorrected energy, eV per cell: -51.2


A relaxed AcTbSm3Er crystal, computed with PBE.

abc: 6.058 11.364 12.064
angles: 90.00 90.00 90.00
Space group Cmcm (No. 63)
Unique sites:
Ac: 0.000 0.000 0.000
Tb: 0.000 0.176 0.250
Sm: 0.000 0.180 0.750
Sm: 0.000 0.330 0.002
Er: 0.000 0.498 0.750

## Properties
Crystal system: orthorhombic
Magnetic moment, μB per formula unit: 0.0
Mass density, kg/m³: 8031
Uncorrected energy, eV per cell: -106.6


A relaxed Ba2GeBi crystal, computed with PBE.

abc: 5.511 5.511 4.791
angles: 90.00 90.00 90.00
Space group P4/mmm (No. 123)
Unique sites:
Ba: 0.000 0.500 0.000
Ge: 0.000 0.000 0.500
Bi: 0.500 0.500 0.500

## Properties
Crystal system: tetragonal
Magnetic moment, μB per formula unit: 0.0
Mass density, kg/m³: 6348
Uncorrected energy, eV per cell: -14.5